[1]
! V5Mo2W5 GGA-PBE optimized geometry; values from VASP
&SYSTEM
  ibrav = 0, nat = 12, ntyp = 3
/
ATOMIC_SPECIES
V 50.94 V.upf
Mo 95.94 Mo.upf
W 183.84 W.upf
ATOMIC_POSITIONS crystal
V 0.833 0.834 0.500
V 0.252 0.750 0.747
V 0.748 0.250 0.253
V 0.167 0.166 0.500
V 0.000 0.000 0.000
Mo 0.918 0.416 0.748
Mo 0.082 0.584 0.252
W 0.500 0.500 0.500
W 0.333 0.333 0.001
W 0.414 0.919 0.253
W 0.586 0.081 0.747
W 0.667 0.667 0.999
CELL_PARAMETERS angstrom
4.254 0.000 1.046
1.927 4.578 1.335
-0.011 -0.024 9.221
! **D(E_F)**: 6.95 states/eV per cell
! **Formation energy**: -0.10 eV/atom

[2]
! ScNiRhPb GGA-PBE optimized geometry; values from VASP
&SYSTEM
  ibrav = 0, nat = 4, ntyp = 4
/
ATOMIC_SPECIES
Pb 207.20 Pb.upf
Ni 58.69 Ni.upf
Rh 102.91 Rh.upf
Sc 44.96 Sc.upf
ATOMIC_POSITIONS crystal
Pb 0.500 0.500 0.500
Ni 0.250 0.250 0.250
Rh 0.750 0.750 0.750
Sc 0.000 0.000 0.000
CELL_PARAMETERS angstrom
-3.352 2.253 -2.174
-3.343 -2.333 -2.102
-4.248 0.019 1.730
! **D(E_F)**: 3.44 states/eV per cell
! **Formation energy**: -0.41 eV/atom

[3]
! YInSb2 GGA-PBE optimized geometry; values from VASP
&SYSTEM
  ibrav = 0, nat = 4, ntyp = 3
/
ATOMIC_SPECIES
In 114.82 In.upf
Sb 121.76 Sb.upf
Y 88.91 Y.upf
ATOMIC_POSITIONS crystal
In 0.745 0.745 0.745
Sb 0.002 0.002 0.002
Sb 0.251 0.251 0.251
Y 0.502 0.502 0.502
CELL_PARAMETERS angstrom
-1.066 7.439 4.022
-4.439 7.067 1.734
-4.193 5.151 5.342
! **Formation energy from raw total energies**: -0.165 eV/atom
! **D(E_F)**: 2.01 states/eV per cell

[4]
! Ac3Cu2Rh4 GGA-PBE optimized geometry; values from VASP
&SYSTEM
  ibrav = 0, nat = 9, ntyp = 3
/
ATOMIC_SPECIES
Ac 227.00 Ac.upf
Cu 63.55 Cu.upf
Rh 102.91 Rh.upf
ATOMIC_POSITIONS crystal
Ac 0.665 0.330 0.668
Ac 0.000 0.000 0.000
Ac 0.335 0.670 0.332
Cu 0.613 0.225 0.280
Cu 0.387 0.775 0.720
Rh 0.720 0.439 0.056
Rh 0.280 0.561 0.944
Rh 0.941 0.882 0.612
Rh 0.059 0.118 0.388
CELL_PARAMETERS angstrom
4.371 0.000 0.000
-2.186 5.663 0.157
0.000 -2.040 8.348
! **D(E_F)**: 4.91 states/eV per cell
! **Formation energy**: -0.47 eV/atom
! **Excess energy over the best structure of this formula in the dataset**: 0 kJ/mol of formula units

[5]
! NdSm3Tm2Se6 GGA-PBE optimized geometry; values from VASP
&SYSTEM
  ibrav = 0, nat = 12, ntyp = 4
/
ATOMIC_SPECIES
Nd 144.24 Nd.upf
Sm 150.36 Sm.upf
Tm 168.93 Tm.upf
Se 78.96 Se.upf
ATOMIC_POSITIONS crystal
Nd 0.000 0.000 0.000
Sm 0.158 0.842 0.500
Sm 0.842 0.158 0.500
Sm 0.500 0.500 0.500
Tm 0.334 0.666 0.000
Tm 0.666 0.334 0.000
Se 0.919 0.572 0.756
Se 0.733 0.733 0.237
Se 0.081 0.428 0.244
Se 0.572 0.919 0.756
Se 0.267 0.267 0.763
Se 0.428 0.081 0.244
CELL_PARAMETERS angstrom
7.150 -0.015 0.000
-3.586 6.186 0.000
-1.189 -2.059 6.774
! **Formation energy from raw total energies**: -1.772 eV/atom
! **D(E_F)**: 5.25 states/eV per cell

[6]
! Nd6P2SeCl3 GGA-PBE optimized geometry; values from VASP
&SYSTEM
  ibrav = 0, nat = 12, ntyp = 4
/
ATOMIC_SPECIES
Nd 144.24 Nd.upf
P 30.97 P.upf
Se 78.96 Se.upf
Cl 35.45 Cl.upf
ATOMIC_POSITIONS crystal
Nd 0.336 0.890 0.673
Nd 0.674 0.564 0.348
Nd 0.664 0.110 0.327
Nd 0.011 0.243 0.022
Nd 0.989 0.757 0.978
Nd 0.326 0.436 0.652
P 0.832 0.664 0.664
P 0.168 0.336 0.336
Se 0.500 0.000 0.000
Cl 0.500 0.500 0.000
Cl 0.834 0.166 0.667
Cl 0.166 0.834 0.333
CELL_PARAMETERS angstrom
-0.110 2.986 -2.937
-8.332 0.339 0.658
2.848 4.636 7.594
! **Formation energy from raw total energies**: -1.601 eV/atom
! **D(E_F)**: 5.21 states/eV per cell

[7]
! MgIr2Br GGA-PBE optimized geometry; values from VASP
&SYSTEM
  ibrav = 0, nat = 4, ntyp = 3
/
ATOMIC_SPECIES
Br 79.90 Br.upf
Ir 192.22 Ir.upf
Mg 24.30 Mg.upf
ATOMIC_POSITIONS crystal
Br 0.754 0.754 0.754
Ir 0.993 0.993 0.993
Ir 0.251 0.251 0.251
Mg 0.502 0.502 0.502
CELL_PARAMETERS angstrom
-5.721 -6.187 -1.654
-5.664 -6.289 1.448
-7.474 -4.227 -0.004
! **Formation energy from raw total energies**: 0.314 eV/atom
! **D(E_F)**: 5.73 states/eV per cell
! **Excess energy over the best structure of this formula in the dataset**: 81 kJ/mol of formula units

[8]
! LaPmPr2Er GGA-PBE optimized geometry; values from VASP
&SYSTEM
  ibrav = 0, nat = 10, ntyp = 4
/
ATOMIC_SPECIES
La 138.91 La.upf
Pm 145.00 Pm.upf
Pr 140.91 Pr.upf
Er 167.26 Er.upf
ATOMIC_POSITIONS crystal
La 0.000 0.000 0.000
La 0.000 0.000 0.500
Pm 0.563 0.000 0.250
Pm 0.437 0.000 0.750
Pr 0.691 0.688 0.780
Pr 0.691 0.312 0.720
Pr 0.309 0.688 0.280
Pr 0.309 0.312 0.220
Er 0.166 0.500 0.750
Er 0.834 0.500 0.250
CELL_PARAMETERS angstrom
-4.761 4.436 -1.089
-5.212 -6.266 -2.739
-1.762 -0.393 6.105
! **D(E_F)**: 13.73 states/eV per cell
! **Formation energy**: 0.26 eV/atom